1.
Below is crystalline Tm4HgBi2 at its relaxed geometry, with properties calculated at the PBE level.

The structure in CIF format:
```
data_Tm4HgBi2
_space_group_name_H-M_alt 'P 1'
_space_group_IT_number 1
_cell_length_a 8.0549
_cell_length_b 8.0549
_cell_length_c 7.5031
_cell_angle_alpha 116.57
_cell_angle_beta 116.57
_cell_angle_gamma 30.01
loop_
_space_group_symop_operation_xyz
'x,y,z'
loop_
_atom_site_label
_atom_site_type_symbol
_atom_site_fract_x
_atom_site_fract_y
_atom_site_fract_z
Tm1 Tm 0.1064 0.1064 0.2447
Tm2 Tm 0.3830 0.3830 0.1709
Tm3 Tm 0.6170 0.6170 0.8291
Tm4 Tm 0.8936 0.8936 0.7553
Hg1 Hg 0.0000 0.0000 0.5000
Bi1 Bi 0.2392 0.2392 0.7225
Bi2 Bi 0.7608 0.7608 0.2775
```

Summary:
SG: C2/m
Size of the total moment (μB per cell): 0.0
E (Ha/atom): -0.150
DOS at the Fermi energy (states/eV/cell): 4.5



2.
Below is crystalline TmHgBi2 at its relaxed geometry, with properties calculated at the PBE level.

The structure in CIF format:
```
data_TmHgBi2
_space_group_name_H-M_alt 'P 1'
_space_group_IT_number 1
_cell_length_a 9.4422
_cell_length_b 9.4422
_cell_length_c 9.4422
_cell_angle_alpha 27.75
_cell_angle_beta 27.75
_cell_angle_gamma 27.75
loop_
_space_group_symop_operation_xyz
'x,y,z'
loop_
_atom_site_label
_atom_site_type_symbol
_atom_site_fract_x
_atom_site_fract_y
_atom_site_fract_z
Tm1 Tm 0.0000 0.0000 0.0000
Hg1 Hg 0.5000 0.5000 0.5000
Bi1 Bi 0.3960 0.3960 0.3960
Bi2 Bi 0.6040 0.6040 0.6040
```

Summary:
SG: R-3m
Size of the total moment (μB per cell): 0.0
Offset from the most stable computed form (meV per atom): 256
DOS at the Fermi energy (states/eV/cell): 1.8



3.
Below is crystalline Tm8Hg2Bi at its relaxed geometry, with properties calculated at the PBE level.

The structure in CIF format:
```
data_Tm8Hg2Bi
_space_group_name_H-M_alt 'P 1'
_space_group_IT_number 1
_cell_length_a 8.2332
_cell_length_b 8.2332
_cell_length_c 5.5981
_cell_angle_alpha 99.93
_cell_angle_beta 99.93
_cell_angle_gamma 116.16
loop_
_space_group_symop_operation_xyz
'x,y,z'
loop_
_atom_site_label
_atom_site_type_symbol
_atom_site_fract_x
_atom_site_fract_y
_atom_site_fract_z
Tm1 Tm 0.0934 0.3291 0.6148
Tm2 Tm 0.2329 0.7671 0.0000
Tm3 Tm 0.3291 0.0934 0.6148
Tm4 Tm 0.4030 0.4030 0.2024
Tm5 Tm 0.5970 0.5970 0.7976
Tm6 Tm 0.6709 0.9066 0.3852
Tm7 Tm 0.7671 0.2329 0.0000
Tm8 Tm 0.9066 0.6709 0.3852
Hg1 Hg 0.3024 0.6976 0.5000
Hg2 Hg 0.6976 0.3024 0.5000
Bi1 Bi 0.0000 0.0000 0.0000
```

Summary:
SG: C2/m
Size of the total moment (μB per cell): 0.0
E (Ha/atom): -0.141
DOS at the Fermi energy (states/eV/cell): 15.5